# TbHo3Ir (GGA-PBE, relaxed)
data_TbHo3Ir
_chemical_formula_sum 'Tb1 Ho3 Ir1'
_symmetry_space_group_name_H-M 'P m -3 m'
_symmetry_Int_Tables_number 221
_symmetry_space_group_name_Hall '-P 4 2 3'
_cell_length_a 5.407
_cell_length_b 5.407
_cell_length_c 5.407
_cell_angle_alpha 90.00
_cell_angle_beta 90.00
_cell_angle_gamma 90.00
loop_
_atom_site_label
_atom_site_type_symbol
_atom_site_fract_x
_atom_site_fract_y
_atom_site_fract_z
_atom_site_occupancy
Tb1 Tb 0.000 0.000 0.000 1
Ho1 Ho 0.000 0.500 0.500 1
Ir1 Ir 0.500 0.500 0.500 1
# - E_form (eV per formula unit) = -1.34